Entry 1:
Here is crystalline Ca2TiSiO6 at its relaxed geometry from Alexandria. Energies are from PBE.

Cell lengths 5.294, 5.294, 5.294 Å; angles 60.00, 60.00, 60.00 degrees
Element x y z (fractional)
O: 0.239 0.761 0.239
O: 0.239 0.239 0.761
O: 0.761 0.239 0.761
O: 0.761 0.239 0.239
O: 0.761 0.761 0.239
O: 0.239 0.761 0.761
Si: 0.000 0.000 0.000
Ti: 0.500 0.500 0.500
Ca: 0.750 0.750 0.750
Ca: 0.250 0.250 0.250

Calculated values
Formation energy (no corrections) = -2875 kJ/mol of formula units
Crystal system = cubic


Entry 2:
Here is crystalline LaTl2Zn at its relaxed geometry from Alexandria. Energies are from PBE.

Cell lengths 4.925, 4.925, 9.380 Å; angles 105.22, 105.22, 90.00 degrees
Element x y z (fractional)
Tl: 0.352 0.352 0.703
Tl: 0.000 0.500 0.000
Tl: 0.648 0.648 0.297
Tl: 0.500 0.000 0.000
La: 0.864 0.864 0.727
La: 0.136 0.136 0.273
Zn: 0.250 0.750 0.500
Zn: 0.750 0.250 0.500

Calculated values
Formation energy from the elements = -0.3149 eV/atom
Crystal system = tetragonal


Entry 3:
Here is crystalline Dy8MgAg2 at its relaxed geometry from Alexandria. Energies are from PBE.

Cell lengths 5.327, 8.357, 8.427 Å; angles 118.40, 108.43, 90.00 degrees
Element x y z (fractional)
Dy: 0.145 0.201 0.289
Dy: 0.600 0.465 0.201
Dy: 0.685 0.957 0.370
Dy: 0.400 0.535 0.799
Dy: 0.855 0.799 0.711
Dy: 0.315 0.043 0.630
Dy: 0.065 0.726 0.131
Dy: 0.935 0.274 0.869
Mg: 0.500 0.000 0.000
Ag: 0.774 0.373 0.548
Ag: 0.226 0.627 0.452

Calculated values
Formation energy from the elements = -0.0880 eV/atom
Crystal system = monoclinic


Entry 4:
Here is crystalline Cs3HfTa at its relaxed geometry from Alexandria. Energies are from PBE.

Cell lengths 6.304, 6.304, 6.304 Å; angles 90.00, 90.00, 90.00 degrees
Element x y z (fractional)
Cs: 0.000 0.500 0.000
Cs: 0.000 0.000 0.500
Cs: 0.500 0.000 0.000
Hf: 0.500 0.500 0.500
Ta: 0.000 0.000 0.000

Calculated values
Polymorph energy (0 for the lowest one) = 0.000 eV/atom
Formation energy from the elements = 2.3986 eV/atom
Crystal system = cubic


Entry 5:
Here is crystalline Tl2GaW at its relaxed geometry from Alexandria. Energies are from PBE.

Cell lengths 5.042, 5.042, 5.042 Å; angles 60.00, 60.00, 60.00 degrees
Element x y z (fractional)
Ga: 0.000 0.000 0.000
W: 0.500 0.500 0.500
Tl: 0.750 0.750 0.750
Tl: 0.250 0.250 0.250

Calculated values
Polymorph energy (0 for the lowest one) = 0.234 eV/atom
Formation energy from the elements = 1.1134 eV/atom
Crystal system = cubic


Entry 6:
Here is crystalline LaSN2 at its relaxed geometry from Alexandria. Energies are from PBE.

Cell lengths 4.738, 4.738, 6.843 Å; angles 69.74, 69.74, 90.00 degrees
Element x y z (fractional)
N: 0.375 0.445 0.750
N: 0.875 0.805 0.750
N: 0.555 0.125 0.250
N: 0.195 0.625 0.250
La: 0.750 0.250 0.500
La: 0.000 0.000 0.000
S: 0.250 0.750 0.500
S: 0.500 0.500 0.000

Calculated values
Formation energy (no corrections) = 120 kJ/mol of formula units
Crystal system = tetragonal


Entry 7:
Here is crystalline La2UCo3Ni12 at its relaxed geometry from Alexandria. Energies are from PBE.

Cell lengths 6.372, 6.372, 6.372 Å; angles 82.29, 82.29, 82.29 degrees
Element x y z (fractional)
U: 0.000 0.000 0.000
Ni: 0.799 0.276 0.799
Ni: 0.587 0.141 0.587
Ni: 0.201 0.201 0.724
Ni: 0.587 0.587 0.141
Ni: 0.799 0.799 0.276
Ni: 0.413 0.413 0.859
Ni: 0.859 0.413 0.413
Ni: 0.413 0.859 0.413
Ni: 0.276 0.799 0.799
Ni: 0.724 0.201 0.201
Ni: 0.141 0.587 0.587
Ni: 0.201 0.724 0.201
Co: 0.500 0.000 0.000
Co: 0.000 0.000 0.500
Co: 0.000 0.500 0.000
La: 0.718 0.718 0.718
La: 0.282 0.282 0.282

Calculated values
Formation energy from the elements = 0.0657 eV/atom
Crystal system = trigonal


Entry 8:
Here is crystalline AcTbSi2Pd2 at its relaxed geometry from Alexandria. Energies are from PBE.

Cell lengths 4.266, 4.266, 8.419 Å; angles 90.00, 90.00, 120.00 degrees
Element x y z (fractional)
Ac: 0.000 0.000 0.000
Tb: 0.000 0.000 0.500
Si: 0.333 0.667 0.269
Si: 0.667 0.333 0.731
Pd: 0.667 0.333 0.277
Pd: 0.333 0.667 0.723

Calculated values
Formation energy (no corrections) = -520 kJ/mol of formula units
Crystal system = trigonal


Entry 9:
Here is crystalline La3Tb2PmS6 at its relaxed geometry from Alexandria. Energies are from PBE.

Cell lengths 7.014, 7.014, 7.062 Å; angles 99.54, 99.54, 120.11 degrees
Element x y z (fractional)
S: 0.922 0.582 0.764
S: 0.739 0.739 0.234
S: 0.582 0.922 0.764
S: 0.418 0.078 0.236
S: 0.261 0.261 0.766
S: 0.078 0.418 0.236
La: 0.500 0.500 0.500
La: 0.164 0.836 0.500
La: 0.836 0.164 0.500
Pm: 0.000 0.000 0.000
Tb: 0.667 0.333 0.000
Tb: 0.333 0.667 0.000

Calculated values
Formation energy (no corrections) = -2431 kJ/mol of formula units
Crystal system = monoclinic


Entry 10:
Here is crystalline Tb2PmHg at its relaxed geometry from Alexandria. Energies are from PBE.

Cell lengths 3.673, 3.673, 10.802 Å; angles 80.21, 80.21, 60.00 degrees
Element x y z (fractional)
Tb: 0.259 0.259 0.224
Tb: 0.075 0.075 0.776
Pm: 0.500 0.500 0.500
Hg: 0.667 0.667 0.000

Calculated values
Polymorph energy (0 for the lowest one) = 0.079 eV/atom
Formation energy from the elements = -0.1524 eV/atom
Crystal system = trigonal


Entry 11:
Here is crystalline Cr2OsI at its relaxed geometry from Alexandria. Energies are from PBE.

Cell lengths 4.384, 4.384, 4.384 Å; angles 60.00, 60.00, 60.00 degrees
Element x y z (fractional)
Cr: 0.250 0.250 0.250
Cr: 0.750 0.750 0.750
I: 0.000 0.000 0.000
Os: 0.500 0.500 0.500

Calculated values
Formation energy (no corrections) = 424 kJ/mol of formula units
Polymorph energy (0 for the lowest one) = 0.021 eV/atom
Crystal system = cubic


Entry 12:
Here is crystalline LiCd4As at its relaxed geometry from Alexandria. Energies are from PBE.

Cell lengths 5.782, 5.782, 5.782 Å; angles 60.00, 60.00, 60.00 degrees
Element x y z (fractional)
Cd: 0.375 0.375 0.875
Cd: 0.875 0.375 0.375
Cd: 0.375 0.375 0.375
Cd: 0.375 0.875 0.375
Li: 0.750 0.750 0.750
As: 0.000 0.000 0.000

Calculated values
Formation energy from the elements = 0.0902 eV/atom
Crystal system = cubic